1.
Material: CsPuAgTe3
Method: DFT, PBE
State: relaxed

a = 4.548 Å, b = 16.892 Å, c = 11.549 Å
α = 90.00°, β = 90.00°, γ = 90.00°
Space group Cmcm (No. 63)
Symmetry-distinct sites (fractional):
Cs  0.000  0.248  0.250 [4 per cell]
Pu  0.000  0.500  0.000 [4 per cell]
Ag  0.000  0.037  0.750 [4 per cell]
Te  0.000  0.120  0.540 [8 per cell]
Te  0.000  0.437  0.750 [4 per cell]

Values from the calculation:
theoretical density = 6.50 Mg/m³
electronic total energy = -5.3948 eV per atom


2.
Material: MgPtAu
Method: DFT, PBE
State: relaxed

a = 8.836 Å, b = 4.109 Å, c = 5.651 Å
α = 90.00°, β = 105.28°, γ = 90.00°
Space group Cm (No. 8)
Symmetry-distinct sites (fractional):
Mg  0.000  0.000  0.000 [2 per cell]
Mg  0.183  0.500  0.360 [2 per cell]
Pt  0.172  0.500  0.868 [2 per cell]
Pt  0.340  0.000  0.181 [2 per cell]
Au  0.012  0.000  0.502 [2 per cell]
Au  0.342  0.000  0.685 [2 per cell]

Values from the calculation:
theoretical density = 13.97 Mg/m³
electronic total energy = -4.2205 eV per atom


3.
Material: Fe3B2Mo2
Method: DFT, PBE
State: relaxed

a = 3.8408 Å, b = 3.8408 Å, c = 18.4896 Å
α = 90.00°, β = 90.00°, γ = 120.00°
Space group R3m (No. 160, hexagonal axes)
Symmetry-distinct sites (fractional):
Fe  0.0000  0.0000  0.0000 [3 per cell]
Fe  0.0000  0.0000  0.2528 [3 per cell]
Fe  0.0000  0.0000  0.7454 [3 per cell]
B  0.0000  0.0000  0.3800 [3 per cell]
B  0.0000  0.0000  0.8682 [3 per cell]
Mo  0.0000  0.0000  0.1290 [3 per cell]
Mo  0.0000  0.0000  0.6100 [3 per cell]

Values from the calculation:
theoretical density = 8.04 Mg/m³
electronic total energy = -8.3484 eV per atom


4.
Material: TbInCu3S4
Method: DFT, PBE
State: relaxed

a = 5.886 Å, b = 7.090 Å, c = 9.440 Å
α = 90.00°, β = 100.18°, γ = 90.00°
Space group P2_1/m (No. 11)
Symmetry-distinct sites (fractional):
Tb  0.105  0.250  0.287 [2 per cell]
In  0.340  0.250  0.895 [2 per cell]
Cu  0.278  0.559  0.524 [4 per cell]
Cu  0.417  0.750  0.771 [2 per cell]
S  0.034  0.250  0.557 [2 per cell]
S  0.208  0.750  0.945 [2 per cell]
S  0.420  0.518  0.297 [4 per cell]

Values from the calculation:
theoretical density = 5.08 Mg/m³
electronic total energy = -4.4620 eV per atom


5.
Material: Hf2Si3Au2
Method: DFT, PBE
State: relaxed

a = 4.2244 Å, b = 4.2244 Å, c = 25.1922 Å
α = 90.00°, β = 90.00°, γ = 120.00°
Space group R3m (No. 160, hexagonal axes)
Symmetry-distinct sites (fractional):
Hf  0.0000  0.0000  0.0000 [3 per cell]
Hf  0.0000  0.0000  0.4944 [3 per cell]
Si  0.0000  0.0000  0.3901 [3 per cell]
Si  0.0000  0.0000  0.6137 [3 per cell]
Si  0.0000  0.0000  0.8595 [3 per cell]
Au  0.0000  0.0000  0.2479 [3 per cell]
Au  0.0000  0.0000  0.7478 [3 per cell]

Values from the calculation:
theoretical density = 10.69 Mg/m³
electronic total energy = -6.2402 eV per atom


6.
Material: LiDyGa2Ir4
Method: DFT, PBE
State: relaxed

a = 4.390 Å, b = 4.390 Å, c = 6.279 Å
α = 90.00°, β = 90.00°, γ = 90.00°
Space group P4/mmm (No. 123)
Symmetry-distinct sites (fractional):
Li  0.000  0.000  0.000 [1 per cell]
Dy  0.500  0.500  0.500 [1 per cell]
Ga  0.000  0.000  0.500 [1 per cell]
Ga  0.500  0.500  0.000 [1 per cell]
Ir  0.000  0.500  0.227 [4 per cell]

Values from the calculation:
theoretical density = 14.79 Mg/m³
electronic total energy = -6.4345 eV per atom


7.
Material: DyY2Er2Tm2Ni2Te2
Method: DFT, PBE
State: relaxed

a = 3.835 Å, b = 15.519 Å, c = 9.511 Å
α = 90.00°, β = 90.00°, γ = 90.00°
Space group Imm2 (No. 44)
Symmetry-distinct sites (fractional):
Dy  0.000  0.000  0.000 [2 per cell]
Y  0.000  0.132  0.418 [4 per cell]
Er  0.000  0.352  0.270 [4 per cell]
Tm  0.000  0.315  0.619 [4 per cell]
Ni  0.000  0.236  0.929 [4 per cell]
Te  0.000  0.000  0.666 [2 per cell]
Te  0.000  0.500  0.763 [2 per cell]

Values from the calculation:
theoretical density = 8.13 Mg/m³
electronic total energy = -5.5056 eV per atom


8.
Material: SmScH4
Method: DFT, PBE
State: relaxed

a = 3.533 Å, b = 3.533 Å, c = 5.135 Å
α = 90.00°, β = 90.00°, γ = 90.00°
Space group P4/mmm (No. 123)
Symmetry-distinct sites (fractional):
Sm  0.000  0.000  0.000 [1 per cell]
Sc  0.500  0.500  0.500 [1 per cell]
H  0.000  0.500  0.280 [4 per cell]

Values from the calculation:
theoretical density = 5.16 Mg/m³
electronic total energy = -4.7258 eV per atom


9.
Material: LiNb2
Method: DFT, PBE
State: relaxed

a = 7.727 Å, b = 7.727 Å, c = 7.727 Å
α = 90.00°, β = 90.00°, γ = 90.00°
Space group Fd-3m (No. 227, origin choice 2)
Symmetry-distinct sites (fractional):
Li  0.125  0.125  0.125 [8 per cell]
Nb  0.000  0.000  0.500 [16 per cell]

Values from the calculation:
theoretical density = 5.55 Mg/m³
electronic total energy = -6.7644 eV per atom


10.
Material: NdSnIrPd
Method: DFT, PBE
State: relaxed

a = 4.5787 Å, b = 4.5787 Å, c = 9.3760 Å
α = 90.00°, β = 90.00°, γ = 120.00°
Space group P-6m2 (No. 187)
Symmetry-distinct sites (fractional):
Nd  0.0000  0.0000  0.0000 [1 per cell]
Nd  0.3333  0.6667  0.5000 [1 per cell]
Sn  0.6667  0.3333  0.2623 [2 per cell]
Ir  0.0000  0.0000  0.3242 [2 per cell]
Pd  0.3333  0.6667  0.1631 [2 per cell]

Values from the calculation:
theoretical density = 10.96 Mg/m³
electronic total energy = -6.3695 eV per atom


11.
Material: Al11Co2
Method: DFT, PBE
State: relaxed

a = 5.4046 Å, b = 5.4046 Å, c = 24.6481 Å
α = 90.00°, β = 90.00°, γ = 120.00°
Space group R-3m (No. 166, hexagonal axes)
Symmetry-distinct sites (fractional):
Al  0.0000  0.0000  0.0000 [3 per cell]
Al  0.0000  0.0000  0.3436 [6 per cell]
Al  0.0000  0.0000  0.4504 [6 per cell]
Al  0.0006  0.5003  0.5773 [18 per cell]
Co  0.0000  0.0000  0.1683 [6 per cell]

Values from the calculation:
theoretical density = 3.31 Mg/m³
electronic total energy = -4.1746 eV per atom


12.
Material: YHfTa
Method: DFT, PBE
State: relaxed

a = 6.801 Å, b = 6.801 Å, c = 6.801 Å
α = 90.00°, β = 90.00°, γ = 90.00°
Space group F-43m (No. 216)
Symmetry-distinct sites (fractional):
Y  0.000  0.000  0.000 [4 per cell]
Hf  0.000  0.000  0.500 [4 per cell]
Ta  0.250  0.250  0.750 [4 per cell]

Values from the calculation:
formation enthalpy at 0 K = 934 meV/atom
theoretical density = 9.47 Mg/m³
electronic total energy = -8.4902 eV per atom